Entry 1:
# NaPt2Cl8 (GGA-PBE, optimized geometry)
data_NaPt2Cl8
_cell_length_a 14.612
_cell_length_b 9.724
_cell_length_c 4.896
_cell_angle_alpha 90.00
_cell_angle_beta 96.90
_cell_angle_gamma 90.00
_symmetry_space_group_name_H-M 'C 1 2/m 1'
_symmetry_Int_Tables_number 12
loop_
_symmetry_equiv_pos_as_xyz
'x,y,z'
'-x,-y,-z'
'-x,y,-z'
'x,-y,z'
'x+1/2,y+1/2,z'
'-x+1/2,-y+1/2,-z'
'-x+1/2,y+1/2,-z'
'x+1/2,-y+1/2,z'
loop_
_atom_site_label
_atom_site_type_symbol
_atom_site_fract_x
_atom_site_fract_y
_atom_site_fract_z
Na1 Na 0.000 0.000 0.000
Pt1 Pt 0.232 0.000 0.736
Cl1 Cl 0.113 0.159 0.695
Cl2 Cl 0.114 0.500 0.211
Cl3 Cl 0.216 0.000 0.231
# Total magnetic moment: 0.00 μB per cell
# Energy above the most stable polymorph in this dataset: 0.00 kcal/mol of atoms
# Calculated total energy: -2.9747 eV/atom
# Crystal system: monoclinic


Entry 2:
# NaPtCl (GGA-PBE, optimized geometry)
data_NaPtCl
_cell_length_a 3.831
_cell_length_b 3.831
_cell_length_c 9.204
_cell_angle_alpha 90.00
_cell_angle_beta 90.00
_cell_angle_gamma 90.00
_symmetry_space_group_name_H-M 'P 4/n m m'
_symmetry_Int_Tables_number 129
loop_
_symmetry_equiv_pos_as_xyz
'x,y,z'
'-x,-y,-z'
'-y+1/2,x,z'
'y+1/2,-x,-z'
'-x+1/2,-y+1/2,z'
'x+1/2,y+1/2,-z'
'y,-x+1/2,z'
'-y,x+1/2,-z'
'x+1/2,-y,-z'
'-x+1/2,y,z'
'-y,-x,-z'
'y,x,z'
'-x,y+1/2,-z'
'x,-y+1/2,z'
'y+1/2,x+1/2,-z'
'-y+1/2,-x+1/2,z'
loop_
_atom_site_label
_atom_site_type_symbol
_atom_site_fract_x
_atom_site_fract_y
_atom_site_fract_z
Na1 Na 0.250 0.250 0.218
Pt1 Pt 0.250 0.250 0.523
Cl1 Cl 0.250 0.750 0.000
# Total magnetic moment: 0.00 μB per cell
# Energy above the most stable polymorph in this dataset: 11.75 kcal/mol of atoms
# Calculated total energy: -3.3196 eV/atom
# Crystal system: tetragonal


- What is the formula in the first record?
  NaPt2Cl8